Computed, not measured: SrGdTeO after structural relaxation at the GGA-PBE level of DFT.

a b c (Å): 5.146 5.146 10.318
angles (deg): 90.00 104.44 120.00
Fractional coordinates of all 8 atoms:
Te (0.780, 0.890, 0.671)
O (0.412, 0.706, 0.117)
Sr (0.253, 0.626, 0.879)
Te (0.220, 0.110, 0.329)
Sr (0.747, 0.374, 0.121)
Gd (0.442, 0.221, 0.664)
Gd (0.558, 0.779, 0.336)
O (0.588, 0.294, 0.883)

Results
- size of the total moment (μB/f.u.) = 0.006
- uncorrected energy (eV per atom) = -5.409
- crystal system = trigonal
- space-group type = R-3m, No. 166